<A>
{"formula": "NaBi3Os", "functional": "PBE", "state": "relaxed", "lattice_angstrom": [[5.306, 0.000, 0.000], [0.000, 5.306, 0.000], [0.000, 0.000, 5.306]], "species": ["Na", "Bi", "Bi", "Bi", "Os"], "fractional_positions": [[0.000, 0.000, 0.000], [0.000, 0.000, 0.500], [0.000, 0.500, 0.000], [0.500, 0.000, 0.000], [0.500, 0.500, 0.500]], "magnetic_moment_mub_per_cell": 2.0}



<B>
{"formula": "NaBi3Os", "functional": "PBE", "state": "relaxed", "lattice_angstrom": [[5.409, 0.000, 0.000], [0.000, 5.409, 0.000], [0.000, 0.000, 5.409]], "species": ["Na", "Bi", "Bi", "Bi", "Os"], "fractional_positions": [[0.000, 0.000, 0.000], [0.000, 0.500, 0.500], [0.500, 0.000, 0.500], [0.500, 0.500, 0.000], [0.500, 0.500, 0.500]], "magnetic_moment_mub_per_cell": 0.0}



Q: Which of them is the least stable? A: <A>.



<A>
{"formula": "NaBi2Os", "functional": "PBE", "state": "relaxed", "lattice_angstrom": [[7.018, 0.000, 0.000], [0.000, 7.018, 0.000], [0.000, 0.000, 7.018]], "species": ["Na", "Na", "Na", "Na", "Bi", "Bi", "Bi", "Bi", "Bi", "Bi", "Bi", "Bi", "Os", "Os", "Os", "Os"], "fractional_positions": [[0.000, 0.000, 0.000], [0.000, 0.500, 0.500], [0.500, 0.000, 0.500], [0.500, 0.500, 0.000], [0.250, 0.250, 0.250], [0.250, 0.250, 0.750], [0.250, 0.750, 0.250], [0.250, 0.750, 0.750], [0.750, 0.250, 0.250], [0.750, 0.250, 0.750], [0.750, 0.750, 0.250], [0.750, 0.750, 0.750], [0.000, 0.000, 0.500], [0.000, 0.500, 0.000], [0.500, 0.000, 0.000], [0.500, 0.500, 0.500]], "magnetic_moment_mub_per_cell": 0.0}



<B>
{"formula": "NaBi2Os", "functional": "PBE", "state": "relaxed", "lattice_angstrom": [[7.279, 0.000, 0.000], [0.000, 7.279, 0.000], [0.000, 0.000, 10.989]], "species": ["Na", "Na", "Na", "Na", "Bi", "Bi", "Bi", "Bi", "Bi", "Bi", "Bi", "Bi", "Os", "Os", "Os", "Os"], "fractional_positions": [[0.000, 0.000, 0.000], [0.000, 0.500, 0.250], [0.500, 0.000, 0.750], [0.500, 0.500, 0.500], [0.177, 0.250, 0.625], [0.250, 0.677, 0.875], [0.250, 0.823, 0.375], [0.323, 0.250, 0.125], [0.677, 0.750, 0.125], [0.750, 0.177, 0.375], [0.750, 0.323, 0.875], [0.823, 0.750, 0.625], [0.000, 0.000, 0.500], [0.000, 0.500, 0.750], [0.500, 0.000, 0.250], [0.500, 0.500, 0.000]], "magnetic_moment_mub_per_cell": 0.0}



Q: Which of them is the least stable? A: <B>.



<A>
{"formula": "Na2BiOs2", "functional": "PBE", "state": "relaxed", "lattice_angstrom": [[9.011, 0.000, 0.000], [0.000, 9.011, 0.000], [0.000, 0.000, 2.822]], "species": ["Na", "Na", "Na", "Na", "Bi", "Bi", "Os", "Os", "Os", "Os"], "fractional_positions": [[0.192, 0.308, 0.000], [0.308, 0.808, 0.000], [0.692, 0.192, 0.000], [0.808, 0.692, 0.000], [0.000, 0.000, 0.000], [0.500, 0.500, 0.000], [0.088, 0.588, 0.500], [0.412, 0.088, 0.500], [0.588, 0.912, 0.500], [0.912, 0.412, 0.500]], "magnetic_moment_mub_per_cell": 0.0}



<B>
{"formula": "Na2BiOs2", "functional": "PBE", "state": "relaxed", "lattice_angstrom": [[3.475, 0.000, 0.000], [0.000, 3.475, 0.000], [0.000, 0.000, 20.721]], "species": ["Na", "Na", "Na", "Na", "Bi", "Bi", "Os", "Os", "Os", "Os"], "fractional_positions": [[0.000, 0.000, 0.121], [0.000, 0.000, 0.879], [0.500, 0.500, 0.379], [0.500, 0.500, 0.621], [0.000, 0.000, 0.500], [0.500, 0.500, 0.000], [0.000, 0.500, 0.250], [0.000, 0.500, 0.750], [0.500, 0.000, 0.250], [0.500, 0.000, 0.750]], "magnetic_moment_mub_per_cell": 0.0}



Q: Which of them is the least stable? A: <A>.